Record 1
{"formula": "Mn3Tc12Os5", "functional": "PBE", "state": "relaxed", "lattice_angstrom": [[-7.0878, 7.0878, 7.0878], [7.0878, -7.0878, 7.0878], [7.0878, 7.0878, -7.0878]], "species": ["Mn", "Mn", "Mn", "Mn", "Mn", "Mn", "Mn", "Mn", "Mn", "Mn", "Mn", "Mn", "Tc", "Tc", "Tc", "Tc", "Tc", "Tc", "Tc", "Tc", "Tc", "Tc", "Tc", "Tc", "Tc", "Tc", "Tc", "Tc", "Tc", "Tc", "Tc", "Tc", "Tc", "Tc", "Tc", "Tc", "Tc", "Tc", "Tc", "Tc", "Tc", "Tc", "Tc", "Tc", "Tc", "Tc", "Tc", "Tc", "Tc", "Tc", "Tc", "Tc", "Tc", "Tc", "Tc", "Tc", "Tc", "Tc", "Tc", "Tc", "Os", "Os", "Os", "Os", "Os", "Os", "Os", "Os", "Os", "Os", "Os", "Os", "Os", "Os", "Os", "Os", "Os", "Os", "Os", "Os"], "fractional_positions": [[0.1250, 0.2500, 0.3750], [0.1250, 0.3750, 0.7500], [0.2500, 0.3750, 0.1250], [0.2500, 0.8750, 0.6250], [0.3750, 0.1250, 0.2500], [0.3750, 0.7500, 0.1250], [0.6250, 0.2500, 0.8750], [0.6250, 0.8750, 0.7500], [0.7500, 0.1250, 0.3750], [0.7500, 0.6250, 0.8750], [0.8750, 0.6250, 0.2500], [0.8750, 0.7500, 0.6250], [0.0680, 0.6387, 0.3990], [0.0680, 0.9294, 0.6690], [0.0706, 0.2397, 0.1387], [0.0706, 0.3310, 0.9320], [0.1010, 0.7397, 0.6690], [0.1010, 0.8613, 0.4320], [0.1387, 0.0706, 0.2397], [0.1387, 0.5680, 0.8990], [0.1690, 0.2397, 0.6010], [0.1690, 0.4294, 0.5680], [0.2397, 0.1387, 0.0706], [0.2397, 0.6010, 0.1690], [0.2603, 0.3310, 0.8990], [0.2603, 0.4294, 0.3613], [0.3310, 0.8990, 0.2603], [0.3310, 0.9320, 0.0706], [0.3613, 0.2603, 0.4294], [0.3613, 0.6010, 0.9320], [0.3990, 0.0680, 0.6387], [0.3990, 0.8310, 0.7603], [0.4294, 0.3613, 0.2603], [0.4294, 0.5680, 0.1690], [0.4320, 0.1010, 0.8613], [0.4320, 0.8310, 0.5706], [0.5680, 0.1690, 0.4294], [0.5680, 0.8990, 0.1387], [0.5706, 0.4320, 0.8310], [0.5706, 0.6387, 0.7397], [0.6010, 0.1690, 0.2397], [0.6010, 0.9320, 0.3613], [0.6387, 0.3990, 0.0680], [0.6387, 0.7397, 0.5706], [0.6690, 0.0680, 0.9294], [0.6690, 0.1010, 0.7397], [0.7397, 0.5706, 0.6387], [0.7397, 0.6690, 0.1010], [0.7603, 0.3990, 0.8310], [0.7603, 0.8613, 0.9294], [0.8310, 0.5706, 0.4320], [0.8310, 0.7603, 0.3990], [0.8613, 0.4320, 0.1010], [0.8613, 0.9294, 0.7603], [0.8990, 0.1387, 0.5680], [0.8990, 0.2603, 0.3310], [0.9294, 0.6690, 0.0680], [0.9294, 0.7603, 0.8613], [0.9320, 0.0706, 0.3310], [0.9320, 0.3613, 0.6010], [0.0000, 0.0000, 0.0000], [0.0000, 0.0000, 0.5000], [0.0000, 0.5000, 0.0000], [0.0000, 0.5000, 0.5000], [0.1250, 0.7500, 0.8750], [0.1250, 0.8750, 0.2500], [0.2500, 0.1250, 0.8750], [0.2500, 0.6250, 0.3750], [0.3750, 0.2500, 0.6250], [0.3750, 0.6250, 0.7500], [0.5000, 0.0000, 0.0000], [0.5000, 0.0000, 0.5000], [0.5000, 0.5000, 0.0000], [0.5000, 0.5000, 0.5000], [0.6250, 0.3750, 0.2500], [0.6250, 0.7500, 0.3750], [0.7500, 0.3750, 0.6250], [0.7500, 0.8750, 0.1250], [0.8750, 0.1250, 0.7500], [0.8750, 0.2500, 0.1250]], "dft_energy_ev_per_fu": -188.56, "n_ef_per_ev_cell": 77.84, "delta_e_f_ev_per_atom": 0.974, "total_magnetization_mub_per_atom": 0.000}

Record 2
{"formula": "Mn2TcOs", "functional": "PBE", "state": "relaxed", "lattice_angstrom": [[3.7596, 0.0000, 0.0000], [0.0000, 3.7596, 0.0000], [0.0000, 0.0000, 3.6555]], "species": ["Mn", "Mn", "Tc", "Os"], "fractional_positions": [[0.0000, 0.5000, 0.0000], [0.5000, 0.0000, 0.0000], [0.0000, 0.0000, 0.5000], [0.5000, 0.5000, 0.5000]], "dft_energy_ev_per_fu": -39.62, "n_ef_per_ev_cell": 4.47, "delta_e_f_ev_per_atom": 0.078, "total_magnetization_mub_per_atom": 0.498}

Record 3
{"formula": "Mn2TcOs", "functional": "PBE", "state": "relaxed", "lattice_angstrom": [[4.0095, 0.0000, 0.0000], [0.0000, 1.3271, 4.7782], [0.0000, -1.3271, 4.7782]], "species": ["Mn", "Mn", "Tc", "Os"], "fractional_positions": [[0.0000, 0.0000, 0.0000], [0.5000, 0.1140, 0.1140], [0.5000, 0.3801, 0.3801], [0.0000, 0.7300, 0.7300]], "dft_energy_ev_per_fu": -39.84, "n_ef_per_ev_cell": 3.62, "delta_e_f_ev_per_atom": 0.023, "total_magnetization_mub_per_atom": 0.012}

Record 4
{"formula": "Mn2TcOs", "functional": "PBE", "state": "relaxed", "lattice_angstrom": [[1.3250, 0.7650, 8.5241], [-1.3250, 0.7650, 8.5241], [0.0000, -1.5300, 8.5241]], "species": ["Mn", "Mn", "Tc", "Os"], "fractional_positions": [[0.2502, 0.2502, 0.2502], [0.7498, 0.7498, 0.7498], [0.5000, 0.5000, 0.5000], [0.0000, 0.0000, 0.0000]], "dft_energy_ev_per_fu": -39.33, "n_ef_per_ev_cell": 4.99, "delta_e_f_ev_per_atom": 0.150, "total_magnetization_mub_per_atom": 0.350}